Material: Sr3Sn2Hg4
Method: DFT, PBE-GGA
State: relaxed

Cell lengths 5.062, 6.418, 9.780 Å; angles 112.04, 90.00, 113.23 degrees
Positions (direct):
Sr 0.663 0.325 0.671
Sr 0.000 0.000 0.000
Sr 0.337 0.675 0.329
Sn 0.612 0.223 0.275
Sn 0.388 0.777 0.725
Hg 0.703 0.406 0.033
Hg 0.297 0.594 0.967
Hg 0.919 0.837 0.583
Hg 0.081 0.163 0.417

Crystal system: monoclinic
DOS at the Fermi energy (states/eV/cell): 3.275
Calculated formation energy (meV per atom): -532.4